First-principles (GGA-PBE) data for a geometry-optimized Tb2Y3Tm2 structure, as listed in the Alexandria database.

Cell and atoms, written as CIF:
```
data_Tb2Y3Tm2
_cell_length_a 3.541
_cell_length_b 6.137
_cell_length_c 10.642
_cell_angle_alpha 84.43
_cell_angle_beta 89.93
_cell_angle_gamma 73.25
_space_group_name_H-M_alt 'P -1'
_space_group_IT_number 2
_space_group_name_Hall '-P 1'
loop_
_atom_site_label
_atom_site_type_symbol
_atom_site_fract_x
_atom_site_fract_y
_atom_site_fract_z
Tb1 Tb 0.216 0.069 0.357
Y1 Y 0.357 0.784 0.928
Y2 Y 0.500 0.500 0.500
Tm1 Tm 0.072 0.356 0.786
```

- magnetization (μB/cell) = 0.00
- calculated total energy (eV/atom) = -5.346
- ρ (Mg/m³) = 6.95
- energy of formation from the pure elements (eV per atom) = 0.02
- V (Å³/f.u.) = 220.3